Density functional theory data (PBE) for crystalline TlFeCu2 at its relaxed geometry.

Summary:
electronic total energy	-16.81	eV/f.u.
calculated volume	16.6	A^3/atom
energy above the most stable polymorph in this dataset	184	meV per atom

Geometry as CIF:
```
data_TlFeCu2
_chemical_formula_sum 'Tl3 Fe3 Cu6'
_cell_length_a 3.0942
_cell_length_b 3.0942
_cell_length_c 23.9710
_cell_angle_alpha 90.00
_cell_angle_beta 90.00
_cell_angle_gamma 120.00
_symmetry_space_group_name_H-M 'R -3 m'
_symmetry_Int_Tables_number 166
_symmetry_space_group_name_Hall '-R 3 2"'
loop_
_atom_site_label
_atom_site_type_symbol
_atom_site_fract_x
_atom_site_fract_y
_atom_site_fract_z
Tl1 Tl 0.0000 0.0000 0.0000
Fe1 Fe 0.0000 0.0000 0.5000
Cu1 Cu 0.0000 0.0000 0.2401
```